(1)
This record from Alexandria describes a relaxed structure of Ta2AgSe. The functional is PBE.

a = 9.1824 Å, b = 9.1824 Å, c = 9.1824 Å
α = 20.19°, β = 20.19°, γ = 20.19°
Sites, in units of the cell vectors:
Ta1 0.9983 0.9983 0.9983
Ta2 0.7440 0.7440 0.7440
Se1 0.2640 0.2640 0.2640
Ag1 0.4937 0.4937 0.4937

## Properties
Calculated volume, Å³/f.u.: 80.69
Uncorrected energy, eV per atom: -7.50
Spin magnetization, μB per formula unit: 0.002
Calculated density, g cm⁻³: 11.29
Raw formation energy, eV per atom: 0.0090

---

(2)
This record from Alexandria describes a relaxed structure of Ta2AgSe. The functional is PBE.

a = 2.9906 Å, b = 2.9906 Å, c = 8.9191 Å
α = 90.00°, β = 90.00°, γ = 105.19°
Sites, in units of the cell vectors:
Se1 0.5000 0.5000 0.7823
Ta1 0.0000 0.0000 0.9979
Ta2 0.5000 0.5000 0.2360
Ag1 0.0000 0.0000 0.4839

## Properties
Calculated volume, Å³/f.u.: 76.98
Uncorrected energy, eV per atom: -7.45
Spin magnetization, μB per formula unit: 0.000
Calculated density, g cm⁻³: 11.84
Raw formation energy, eV per atom: 0.0609

---

(3)
This record from Alexandria describes a relaxed structure of Ta3AgSe. The functional is PBE.

a = 4.7270 Å, b = 4.7270 Å, c = 4.7270 Å
α = 90.00°, β = 90.00°, γ = 90.00°
Sites, in units of the cell vectors:
Ag1 0.5000 0.5000 0.5000
Se1 0.0000 0.0000 0.0000
Ta1 0.0000 0.0000 0.5000
Ta2 0.5000 0.0000 0.0000
Ta3 0.0000 0.5000 0.0000

## Properties
Calculated volume, Å³/f.u.: 105.62
Uncorrected energy, eV per atom: -7.33
Spin magnetization, μB per formula unit: 0.000
Polymorph energy (0 for the lowest one), meV/atom: 0.0
Calculated density, g cm⁻³: 11.47
Raw formation energy, eV per atom: 1.0494

---

(4)
This record from Alexandria describes a relaxed structure of TaAg8Se6. The functional is PBE.

a = 7.7361 Å, b = 8.0266 Å, c = 11.3343 Å
α = 90.00°, β = 90.00°, γ = 90.00°
Sites, in units of the cell vectors:
Ag1 0.8850 0.7979 0.1475
Ag2 0.1514 0.6951 0.3341
Ag3 0.5228 0.6885 0.2294
Ag4 0.8486 0.1951 0.8341
Ag5 0.6078 0.5000 0.4493
Ag6 0.7055 0.5000 0.0312
Ag7 0.3922 0.0000 0.9493
Ag8 0.8486 0.8049 0.8341
Ag9 0.5228 0.3115 0.2294
Ag10 0.4772 0.8115 0.7294
Ag11 0.1514 0.3049 0.3341
Ag12 0.4772 0.1885 0.7294
Ag13 0.1150 0.7021 0.6475
Ag14 0.1150 0.2979 0.6475
Ag15 0.8850 0.2021 0.1475
Ag16 0.2945 0.0000 0.5312
Se1 0.1824 0.0000 0.7568
Se2 0.7258 0.0000 0.9989
Se3 0.4908 0.0000 0.3424
Se4 0.0082 0.5000 0.8587
Se5 0.7545 0.7428 0.5975
Se6 0.8176 0.5000 0.2568
Se7 0.9918 0.0000 0.3587
Se8 0.2455 0.2428 0.0975
Se9 0.5092 0.5000 0.8424
Se10 0.2742 0.5000 0.4989
Se11 0.7545 0.2572 0.5975
Se12 0.2455 0.7572 0.0975
Ta1 0.7333 0.0000 0.4818
Ta2 0.2667 0.5000 0.9818

## Properties
Calculated volume, Å³/f.u.: 351.90
Uncorrected energy, eV per atom: -3.86
Spin magnetization, μB per formula unit: 0.003
Calculated density, g cm⁻³: 7.16
Raw formation energy, eV per atom: -0.1512

---

(5)
This record from Alexandria describes a relaxed structure of Ta2AgSe. The functional is PBE.

a = 5.2947 Å, b = 5.2947 Å, c = 5.2947 Å
α = 135.56°, β = 135.56°, γ = 64.66°
Sites, in units of the cell vectors:
Ta1 0.2500 0.7500 0.5000
Ta2 0.0000 0.0000 0.0000
Ag1 0.5000 0.5000 0.0000
Se1 0.7500 0.2500 0.5000

## Properties
Calculated volume, Å³/f.u.: 71.74
Uncorrected energy, eV per atom: -7.03
Spin magnetization, μB per formula unit: 0.000
Calculated density, g cm⁻³: 12.70
Raw formation energy, eV per atom: 0.4761

---

(6)
This record from Alexandria describes a relaxed structure of Ta4AgSe8. The functional is PBE.

a = 6.9578 Å, b = 6.9578 Å, c = 8.5579 Å
α = 90.00°, β = 113.99°, γ = 120.00°
Sites, in units of the cell vectors:
Ag1 0.0000 0.5000 0.5000
Se1 0.5156 0.7578 0.7772
Se2 0.5194 0.2597 0.7790
Se3 0.0193 0.2615 0.7772
Se4 0.4844 0.2422 0.2228
Se5 0.4806 0.7403 0.2210
Se6 0.9807 0.7385 0.2228
Se7 0.0193 0.7578 0.7772
Se8 0.9807 0.2422 0.2228
Ta1 0.0000 0.0000 0.0000
Ta2 0.5000 0.0000 0.0000
Ta3 0.0000 0.5000 0.0000
Ta4 0.5000 0.5000 0.0000

## Properties
Calculated volume, Å³/f.u.: 316.81
Uncorrected energy, eV per atom: -6.68
Spin magnetization, μB per formula unit: 0.000
Calculated density, g cm⁻³: 7.67
Raw formation energy, eV per atom: -0.6735

---

(7)
This record from Alexandria describes a relaxed structure of Ta2AgSe. The functional is PBE.

a = 4.2000 Å, b = 3.0028 Å, c = 5.8366 Å
α = 74.96°, β = 90.00°, γ = 90.00°
Sites, in units of the cell vectors:
Ta1 0.0000 0.9229 0.9925
Ta2 0.0000 0.5771 0.5075
Se1 0.5000 0.7500 0.7500
Ag1 0.5000 0.2500 0.2500

## Properties
Calculated volume, Å³/f.u.: 71.09
Uncorrected energy, eV per atom: -7.25
Spin magnetization, μB per formula unit: 0.000
Calculated density, g cm⁻³: 12.82
Raw formation energy, eV per atom: 0.2648

---

(8)
This record from Alexandria describes a relaxed structure of Ta2AgSe. The functional is PBE.

a = 5.5858 Å, b = 5.5858 Å, c = 5.5858 Å
α = 147.12°, β = 129.84°, γ = 61.28°
Sites, in units of the cell vectors:
Se1 0.2311 0.7311 0.5000
Ta1 0.7609 0.2609 0.5000
Ta2 0.0178 0.0178 0.0000
Ag1 0.4902 0.4902 0.0000

## Properties
Calculated volume, Å³/f.u.: 71.96
Uncorrected energy, eV per atom: -7.30
Spin magnetization, μB per formula unit: 0.000
Calculated density, g cm⁻³: 12.66
Raw formation energy, eV per atom: 0.2132

---

(9)
This record from Alexandria describes a relaxed structure of Ta2AgSe. The functional is PBE.

a = 3.3829 Å, b = 4.6843 Å, c = 4.5712 Å
α = 90.00°, β = 90.00°, γ = 90.00°
Sites, in units of the cell vectors:
Ta1 0.5000 0.5000 0.0000
Ta2 0.0000 0.0000 0.0000
Ag1 0.5000 0.0000 0.5000
Se1 0.0000 0.5000 0.5000

## Properties
Calculated volume, Å³/f.u.: 72.44
Uncorrected energy, eV per atom: -7.12
Spin magnetization, μB per formula unit: 0.000
Calculated density, g cm⁻³: 12.58
Raw formation energy, eV per atom: 0.3871

---

(10)
This record from Alexandria describes a relaxed structure of Ta2AgSe. The functional is PBE.

a = 3.0900 Å, b = 3.0900 Å, c = 7.2588 Å
α = 90.00°, β = 90.00°, γ = 90.00°
Sites, in units of the cell vectors:
Ta1 0.0000 0.0000 0.5240
Ta2 0.0000 0.0000 0.9760
Se1 0.5000 0.5000 0.7500
Ag1 0.5000 0.5000 0.2500

## Properties
Calculated volume, Å³/f.u.: 69.31
Uncorrected energy, eV per atom: -7.38
Spin magnetization, μB per formula unit: 0.000
Calculated density, g cm⁻³: 13.15
Raw formation energy, eV per atom: 0.1321

---

(11)
This record from Alexandria describes a relaxed structure of Ta2TiAg2Se6. The functional is PBE.

a = 6.2975 Å, b = 6.2975 Å, c = 8.6880 Å
α = 101.71°, β = 101.71°, γ = 121.29°
Sites, in units of the cell vectors:
Ta1 0.6304 0.3696 0.5000
Ta2 0.3696 0.6304 0.5000
Ti1 0.0000 0.0000 0.5000
Se1 0.8173 0.8173 0.7243
Se2 0.5582 0.9058 0.3163
Se3 0.0942 0.4418 0.6837
Se4 0.1827 0.1827 0.2757
Se5 0.4418 0.0942 0.6837
Se6 0.9058 0.5582 0.3163
Ag1 0.6869 0.3131 0.0000
Ag2 0.3131 0.6869 0.0000

## Properties
Calculated volume, Å³/f.u.: 268.03
Uncorrected energy, eV per atom: -5.91
Spin magnetization, μB per formula unit: 0.000
Calculated density, g cm⁻³: 6.81
Raw formation energy, eV per atom: -0.6217

---

(12)
This record from Alexandria describes a relaxed structure of Ta2TlAgSe. The functional is PBE.

a = 5.0939 Å, b = 4.8718 Å, c = 5.0939 Å
α = 90.00°, β = 90.00°, γ = 90.00°
Sites, in units of the cell vectors:
Ta1 0.5000 0.0000 0.0000
Ta2 0.0000 0.0000 0.5000
Tl1 0.5000 0.5000 0.5000
Se1 0.0000 0.5000 0.0000
Ag1 0.0000 0.0000 0.0000

## Properties
Calculated volume, Å³/f.u.: 126.41
Uncorrected energy, eV per atom: -4.78
Spin magnetization, μB per formula unit: 0.000
Calculated density, g cm⁻³: 9.89
Raw formation energy, eV per atom: 1.7054